(1)
DFT (GGA-PBE) results for crystalline ZnBOs2 at its relaxed geometry.

Unit cell a=4.174 b=4.174 c=4.174 alpha=60.00 beta=60.00 gamma=60.00
Fractional positions:
Os 0.000 0.000 0.000
Os 0.750 0.750 0.750
B 0.500 0.500 0.500
Zn 0.250 0.250 0.250

total magnetization	0.03	Bohr magnetons per cell
total energy	-6.6818	eV/atom
SG	F-43m, No. 216


(2)
DFT (GGA-PBE) results for crystalline Li2Y2Tl2CuAu at its relaxed geometry.

Unit cell a=4.800 b=4.800 c=6.880 alpha=90.00 beta=90.00 gamma=90.00
Fractional positions:
Y 0.000 0.500 0.254
Li 0.000 0.000 0.500
Li 0.500 0.500 0.000
Au 0.000 0.000 0.000
Cu 0.500 0.500 0.500
Y 0.500 0.000 0.746
Tl 0.500 0.000 0.266
Tl 0.000 0.500 0.734

total magnetization	0.00	Bohr magnetons per cell
total energy	-3.9448	eV/atom
SG	P-4m2, No. 115


(3)
DFT (GGA-PBE) results for crystalline AlFeCo at its relaxed geometry.

Unit cell a=4.941 b=3.890 c=7.297 alpha=90.00 beta=90.00 gamma=90.00
Last column: magnetic moment on the atom in μB.
Fractional positions:
Fe 0.457 0.750 0.259  2.31
Al 0.172 0.250 0.417  -0.04
Al 0.672 0.250 0.083  -0.04
Co 0.168 0.250 0.080  0.94
Co 0.832 0.750 0.920  0.94
Fe 0.043 0.250 0.759  2.34
Fe 0.957 0.750 0.241  2.34
Fe 0.543 0.250 0.741  2.31
Al 0.328 0.750 0.917  -0.04
Al 0.828 0.750 0.583  -0.04
Co 0.668 0.250 0.420  0.94
Co 0.332 0.750 0.580  0.94

total magnetization	12.62	Bohr magnetons per cell
offset from the most stable computed form	3	meV/atom
SG	Pnma, No. 62


(4)
DFT (GGA-PBE) results for crystalline FePt13 at its relaxed geometry.

Unit cell a=6.502 b=6.502 c=5.712 alpha=99.81 beta=99.81 gamma=71.06
Last column: magnetic moment on the atom in μB.
Fractional positions:
Pt 0.000 0.000 0.000  0.20
Pt 0.374 0.774 0.320  0.17
Fe 0.000 0.000 0.500  3.19
Pt 0.774 0.374 0.320  0.16
Pt 0.618 0.618 0.943  0.09
Pt 0.363 0.998 0.784  0.16
Pt 0.637 0.002 0.216  0.16
Pt 0.226 0.626 0.680  0.16
Pt 0.231 0.231 0.384  0.18
Pt 0.626 0.226 0.680  0.17
Pt 0.382 0.382 0.057  0.09
Pt 0.002 0.637 0.216  0.14
Pt 0.769 0.769 0.616  0.18
Pt 0.998 0.363 0.784  0.14

total magnetization	5.20	Bohr magnetons per cell
ΔH_f (0 K)	0.040	eV per atom
SG	C2/m, No. 12


(5)
DFT (GGA-PBE) results for crystalline Nd2SmSb3 at its relaxed geometry.

Unit cell a=4.499 b=4.499 c=11.050 alpha=90.00 beta=90.00 gamma=120.00
Fractional positions:
Nd 0.333 0.667 0.832
Sb 0.000 0.000 0.000
Sb 0.333 0.667 0.336
Sb 0.667 0.333 0.664
Sm 0.000 0.000 0.500
Nd 0.667 0.333 0.168

total magnetization	0.00	Bohr magnetons per cell
total energy	-5.6217	eV/atom
SG	P-3m1, No. 164


(6)
DFT (GGA-PBE) results for crystalline ErLu2Fe9 at its relaxed geometry.

Unit cell a=8.480 b=8.480 c=8.480 alpha=34.29 beta=34.29 gamma=34.29
Last column: magnetic moment on the atom in μB.
Fractional positions:
Fe 0.417 0.417 0.919  1.81
Fe 0.583 0.081 0.583  1.90
Fe 0.333 0.333 0.333  2.13
Fe 0.667 0.667 0.667  2.13
Lu 0.142 0.142 0.142  -0.47
Fe 0.500 0.500 0.500  1.65
Fe 0.417 0.919 0.417  1.90
Lu 0.858 0.858 0.858  -0.47
Fe 0.919 0.417 0.417  1.78
Er 0.000 0.000 0.000  -0.44
Fe 0.081 0.583 0.583  1.78
Fe 0.583 0.583 0.081  1.81

total magnetization	15.46	Bohr magnetons per cell
ΔH_f (0 K)	-0.128	eV per atom
SG	R-3m, No. 166


(7)
DFT (GGA-PBE) results for crystalline BIrAu at its relaxed geometry.

Unit cell a=4.083 b=4.083 c=4.083 alpha=60.00 beta=60.00 gamma=60.00
Fractional positions:
Au 0.500 0.500 0.500
B 0.000 0.000 0.000
Ir 0.250 0.250 0.250

total magnetization	0.00	Bohr magnetons per cell
total energy	-5.1848	eV/atom
SG	F-43m, No. 216


(8)
DFT (GGA-PBE) results for crystalline BAuNO at its relaxed geometry.

Unit cell a=3.155 b=3.155 c=8.544 alpha=90.00 beta=90.00 gamma=90.00
Fractional positions:
B 0.250 0.750 0.500
O 0.750 0.250 0.000
O 0.250 0.750 0.000
N 0.250 0.250 0.447
Au 0.250 0.250 0.199
N 0.750 0.750 0.553
B 0.750 0.250 0.500
Au 0.750 0.750 0.801

offset from the most stable computed form	1241	meV/atom
SG	P4/nmm, No. 129